Record 1
Tb3ErBi3: optimized geometry, PBE-GGA.

The structure belongs to space group R-3 (No. 148, hexagonal axes); the cell edges are 9.0930, 9.0930 and 18.8884 Å and the angles 90.00°, 90.00° and 120.00°. Symmetry generates all atoms from Tb at (0.0013, 0.7456, 0.0823), Er at (0.0000, 0.0000, 0.3332) and Bi at (0.0018, 0.6085, 0.9162).

For the density of states at the Fermi level, the calculation gives 33.59 states/eV per cell. For the formation energy from the elements, the calculation gives -63.2 kJ per mole of atoms. As for the relative energy among the computed polymorphs: 75.7 meV/atom.


Record 2
Ac2In5Ga3: optimized geometry, PBE-GGA.

The structure belongs to space group P-4m2 (No. 115); the cell edges are 4.7592, 4.7592 and 11.7980 Å and the angles 90.00°, 90.00° and 90.00°. Symmetry generates all atoms from Ac at (0.0000, 0.5000, 0.2352), In at (0.0000, 0.0000, 0.5000), In at (0.0000, 0.5000, 0.6532), In at (0.5000, 0.5000, 0.0000), In at (0.5000, 0.5000, 0.5000), Ga at (0.0000, 0.0000, 0.0000) and Ga at (0.0000, 0.5000, 0.8815).

For the density of states at the Fermi level, the calculation gives 5.19 states/eV per cell. For the formation energy from the elements, the calculation gives -30.3 kJ per mole of atoms. As for the relative energy among the computed polymorphs: 6.1 meV/atom.


Record 3
Li2Ac2TlPd5: optimized geometry, PBE-GGA.

The structure belongs to space group P4/mbm (No. 127); the cell edges are 9.9668, 9.9668 and 3.9466 Å and the angles 90.00°, 90.00° and 90.00°. Symmetry generates all atoms from Li at (0.1150, 0.3850, 0.0000), Ac at (0.1821, 0.6821, 0.0000), Tl at (0.0000, 0.0000, 0.0000), Pd at (0.0000, 0.5000, 0.5000) and Pd at (0.0659, 0.2162, 0.5000).

For the density of states at the Fermi level, the calculation gives 6.59 states/eV per cell. For the formation energy from the elements, the calculation gives -56.2 kJ per mole of atoms.


Record 4
ReSnW2Au: optimized geometry, PBE-GGA.

The structure belongs to space group P4/mmm (No. 123); the cell edges are 4.9634, 4.9634 and 4.7870 Å and the angles 90.00°, 90.00° and 90.00°. Symmetry generates all atoms from Re at (0.0000, 0.0000, 0.0000), Sn at (0.5000, 0.5000, 0.5000), W at (0.0000, 0.5000, 0.5000) and Au at (0.5000, 0.5000, 0.0000).

For the density of states at the Fermi level, the calculation gives 3.66 states/eV per cell. For the formation energy from the elements, the calculation gives 273.3 kJ per mole of atoms.


Record 5
CuAu2Cl: optimized geometry, PBE-GGA.

The structure belongs to space group Cmmm (No. 65); the cell edges are 3.1980, 5.1250 and 8.5772 Å and the angles 90.00°, 90.00° and 90.00°. Symmetry generates all atoms from Cu at (0.0000, 0.0000, 0.0000), Au at (0.0000, 0.5000, 0.2348) and Cl at (0.0000, 0.0000, 0.5000).

For the density of states at the Fermi level, the calculation gives 1.85 states/eV per cell. Its energy relative to the elements, uncorrected is 0.1615 eV/atom. As for the relative energy among the computed polymorphs: 197.3 meV/atom.


Record 6
AgHgSF: optimized geometry, PBE-GGA.

The structure belongs to space group Cm (No. 8); the cell edges are 7.6704, 4.3745 and 5.7938 Å and the angles 90.00°, 118.10° and 90.00°. Symmetry generates all atoms from Ag at (0.0000, 0.0000, 0.0000), Hg at (0.3339, 0.5000, 0.4753), S at (0.1628, 0.5000, 0.9855) and F at (0.1573, 0.0000, 0.4562).

For the density of states at the Fermi level, the calculation gives 0.76 states/eV per cell. Its energy relative to the elements, uncorrected is -0.5182 eV/atom.


Record 7
FeRuRh: optimized geometry, PBE-GGA.

The structure belongs to space group Fmm2 (No. 42); the cell edges are 2.7970, 4.5174 and 13.1182 Å and the angles 90.00°, 90.00° and 90.00°. Symmetry generates all atoms from Fe at (0.0000, 0.0000, 0.0000), Ru at (0.0000, 0.0000, 0.6596) and Rh at (0.0000, 0.0000, 0.3379).

For the density of states at the Fermi level, the calculation gives 16.43 states/eV per cell. For the formation energy from the elements, the calculation gives 23.7 kJ per mole of atoms. As for the relative energy among the computed polymorphs: 180.5 meV/atom.


Record 8
Er2FeRh: optimized geometry, PBE-GGA.

The structure belongs to space group P4/mmm (No. 123); the cell edges are 3.3443, 3.3443 and 6.7133 Å and the angles 90.00°, 90.00° and 90.00°. Symmetry generates all atoms from Er at (0.0000, 0.0000, 0.2431), Fe at (0.5000, 0.5000, 0.0000) and Rh at (0.5000, 0.5000, 0.5000).

For the density of states at the Fermi level, the calculation gives 4.22 states/eV per cell. For the formation energy from the elements, the calculation gives -36.9 kJ per mole of atoms. As for the relative energy among the computed polymorphs: 0.0 meV/atom.


Record 9
Na2PmCdPb2: optimized geometry, PBE-GGA.

The structure belongs to space group Pmc2_1 (No. 26); the cell edges are 4.9040, 9.3598 and 7.6939 Å and the angles 90.00°, 90.00° and 90.00°. Symmetry generates all atoms from Na at (0.0000, 0.0654, 0.0000), Na at (0.5000, 0.1670, 0.3034), Pm at (0.5000, 0.4640, 0.9558), Cd at (0.0000, 0.3134, 0.6199), Pb at (0.0000, 0.3767, 0.2280) and Pb at (0.5000, 0.1643, 0.7300).

For the density of states at the Fermi level, the calculation gives 6.56 states/eV per cell. For the formation energy from the elements, the calculation gives -26.3 kJ per mole of atoms.


Record 10
La3BeRe: optimized geometry, PBE-GGA.

The structure belongs to space group Pm-3m (No. 221); the cell edges are 5.5033, 5.5033 and 5.5033 Å and the angles 90.00°, 90.00° and 90.00°. Symmetry generates all atoms from La at (0.0000, 0.0000, 0.5000), Be at (0.5000, 0.5000, 0.5000) and Re at (0.0000, 0.0000, 0.0000).

For the density of states at the Fermi level, the calculation gives 7.58 states/eV per cell. For the formation energy from the elements, the calculation gives 53.1 kJ per mole of atoms.


Record 11
MgPBr2: optimized geometry, PBE-GGA.

The structure belongs to space group I-42d (No. 122); the cell edges are 7.8496, 7.8496 and 10.0453 Å and the angles 90.00°, 90.00° and 90.00°. Symmetry generates all atoms from Mg at (0.0000, 0.0000, 0.0000), P at (0.0000, 0.0000, 0.5000) and Br at (0.1287, 0.2500, 0.1250).

For the density of states at the Fermi level, the calculation gives 0.00 states/eV per cell. Its energy relative to the elements, uncorrected is -0.1556 eV/atom. As for the relative energy among the computed polymorphs: 381.5 meV/atom.


Record 12
Y2CuCl: optimized geometry, PBE-GGA.

The structure belongs to space group I-4m2 (No. 119); the cell edges are 3.9557, 3.9557 and 12.3247 Å and the angles 90.00°, 90.00° and 90.00°. Symmetry generates all atoms from Y at (0.0000, 0.0000, 0.0000), Y at (0.0000, 0.5000, 0.2500), Cu at (0.0000, 0.0000, 0.5000) and Cl at (0.0000, 0.5000, 0.7500).

For the density of states at the Fermi level, the calculation gives 3.45 states/eV per cell. Its energy relative to the elements, uncorrected is -0.4287 eV/atom. As for the relative energy among the computed polymorphs: 340.8 meV/atom.